Entry 1:
Here is a relaxed structure of Na8PtO6 from the Alexandria database. Energies are from PBE.

Lattice parameters (Å, degrees): 4.527 6.924 6.925 90.00 90.16 89.99
Atoms (fractional coordinates):
1 O 0.425 0.593 0.783
2 O 0.789 0.000 0.002
3 O 0.422 0.407 0.217
4 O 0.423 0.783 0.407
5 O 0.922 0.500 0.500
6 O 0.424 0.217 0.593
7 Pt 0.422 0.500 0.500
8 Na 0.929 0.665 0.781
9 Na 0.456 0.288 0.918
10 Na 0.456 0.712 0.082
11 Na 0.457 0.918 0.712
12 Na 0.928 0.219 0.666
13 Na 0.454 0.082 0.288
14 Na 0.927 0.333 0.219
15 Na 0.927 0.782 0.333

* crystal system: triclinic
* symmetry: No. 1
* theoretical density: 3.6 g/cm³
* density of states at the Fermi level: 6.4 states/eV/cell
* E: -4.151 eV/atom


Entry 2:
Here is a relaxed structure of AlHgI3 from the Alexandria database. Energies are from PBE.

Lattice parameters (Å, degrees): 5.945 5.945 5.945 90.00 90.00 90.00
Atoms (fractional coordinates):
1 I 0.000 0.000 0.500
2 I 0.500 0.000 0.000
3 I 0.000 0.500 0.000
4 Hg 0.000 0.000 0.000
5 Al 0.500 0.500 0.500

* crystal system: cubic
* energy above the most stable polymorph in this dataset: 55.9 kJ per mole of atoms
* symmetry: No. 221
* theoretical density: 4.8 g/cm³
* density of states at the Fermi level: 0.9 states/eV/cell
* E: -1.651 eV/atom


Entry 3:
Here is a relaxed structure of Sb3SF from the Alexandria database. Energies are from PBE.

Lattice parameters (Å, degrees): 4.924 4.924 4.924 90.00 90.00 90.00
Atoms (fractional coordinates):
1 Sb 0.500 0.000 0.000
2 Sb 0.000 0.000 0.500
3 Sb 0.000 0.500 0.000
4 S 0.500 0.500 0.500
5 F 0.000 0.000 0.000

* crystal system: cubic
* energy above the most stable polymorph in this dataset: 0.0 kJ per mole of atoms
* symmetry: No. 221
* theoretical density: 5.8 g/cm³
* density of states at the Fermi level: 6.0 states/eV/cell
* E: -3.401 eV/atom